1.
## SiP2H (PBE)

Data for a relaxed SiP2H crystal.

Properties
N(E_F): 1.0 states/eV/f.u.
Total energy: -18.9 eV/cell
Polymorph energy (0 for the lowest one): 74.5 meV per atom
M_tot: 0.00 μB per formula unit

Cell lengths 3.6260, 3.6595, 5.5458 Å; angles 95.90, 103.51, 118.09 degrees
Closest atoms and distances in Å follow each position.
Element x y z (fractional)
P 0.8450 0.9788 0.1044  3 Si 2.31-2.36, 1 P 2.58
Si 0.3993 0.2482 0.9204  4 P 2.22-2.36
P 0.2666 0.9135 0.5255  1 H 1.44
H 0.6751 0.2675 0.5224  1 P 1.44

---

2.
## SiP2H (PBE)

Data for a relaxed SiP2H crystal.

Properties
N(E_F): 0.6 states/eV/f.u.
Total energy: -37.5 eV/cell
Polymorph energy (0 for the lowest one): 105.0 meV per atom
M_tot: 0.00 μB per formula unit

Cell lengths 5.3010, 5.6974, 4.6454 Å; angles 90.00, 106.77, 90.00 degrees
Closest atoms and distances in Å follow each position.
Element x y z (fractional)
Si 0.5000 0.0842 0.0000  4 P 2.27
H 0.0000 0.8204 0.5000  2 P 1.68
H 0.0000 0.3204 0.0000  2 P 1.68
P 0.7278 0.7613 0.2164  1 H 1.68
P 0.7278 0.2613 0.7164  1 H 1.68
P 0.2722 0.7613 0.7836  1 H 1.68
Si 0.5000 0.5842 0.5000  4 P 2.27
P 0.2722 0.2613 0.2836  1 H 1.68

---

3.
## SiP2H (PBE)

Data for a relaxed SiP2H crystal.

Properties
N(E_F): 0.8 states/eV/f.u.
Total energy: -18.9 eV/cell
Polymorph energy (0 for the lowest one): 69.2 meV per atom
M_tot: 0.00 μB per formula unit

Cell lengths 4.1791, 2.4431, 6.0563 Å; angles 90.00, 96.16, 90.00 degrees
Closest atoms and distances in Å follow each position.
Element x y z (fractional)
H 0.3080 0.5000 0.8402  1 P 1.43
P 0.6241 0.5000 0.7702  1 H 1.43
Si 0.4347 0.5000 0.3792  3 P 2.35-2.42, 2 Si 2.44
P 0.8959 0.5000 0.1886  2 Si 2.35-2.42, 2 P 2.44

---

4.
## SiP2H (PBE)

Data for a relaxed SiP2H crystal.

Properties
N(E_F): 1.1 states/eV/f.u.
Total energy: -16.9 eV/cell
Polymorph energy (0 for the lowest one): 557.9 meV per atom
M_tot: 0.00 μB per formula unit

Cell lengths 4.0534, 4.0534, 4.0534 Å; angles 60.00, 60.00, 60.00 degrees
Closest atoms and distances in Å follow each position.
Element x y z (fractional)
P 0.2500 0.2500 0.2500  4 H 2.48, 4 Si 2.48
H 0.0000 0.0000 0.0000  8 P 2.48
Si 0.5000 0.5000 0.5000  8 P 2.48
P 0.7500 0.7500 0.7500  4 Si 2.48, 4 H 2.48